Arrangement i

This record from the Alexandria database describes Te3AsOs after structural relaxation. The functional is PBE.

M_tot, Bohr magnetons per cell: 0.0

Structure (POSCAR):
```
Te3AsOs
1.0
5.207 0.000 0.000
0.000 5.207 0.000
0.000 0.000 5.207
Te As Os
3 1 1
Direct
0.000 0.000 0.500 Te
0.000 0.500 0.000 Te
0.500 0.000 0.000 Te
0.000 0.000 0.000 As
0.500 0.500 0.500 Os
```


Arrangement ii

This record from the Alexandria database describes Te3AsOs after structural relaxation. The functional is PBE.

M_tot, Bohr magnetons per cell: 0.0

Structure (POSCAR):
```
Te3AsOs
1.0
5.194 0.000 0.000
0.000 5.194 0.000
0.000 0.000 5.194
Te As Os
3 1 1
Direct
0.000 0.000 0.500 Te
0.000 0.500 0.000 Te
0.500 0.000 0.000 Te
0.500 0.500 0.500 As
0.000 0.000 0.000 Os
```


Most favorable structure: arrangement ii. The second most favorable one is 812 meV/atom above it.